The following is a DFT calculation (PBE) of an optimized crystal structure of V2H3S6.

The structure in POSCAR format:
```
V2H3S6
1.0
5.955 0.000 0.000
2.962 5.234 0.000
0.936 -0.162 12.017
V H S
4 6 12
direct
0.191 0.109 0.497
0.278 0.860 0.000
0.722 0.140 0.000
0.809 0.891 0.503
0.050 0.499 0.300
0.438 0.027 0.201
0.497 0.501 0.202
0.503 0.499 0.798
0.562 0.973 0.799
0.950 0.501 0.700
0.023 0.150 0.883
0.115 0.855 0.615
0.162 0.496 0.394
0.332 0.162 0.108
0.369 0.485 0.892
0.463 0.158 0.611
0.537 0.842 0.389
0.631 0.515 0.108
0.668 0.838 0.892
0.838 0.504 0.606
0.885 0.145 0.385
0.977 0.850 0.117
```

- Raw total energy: -5.2704 eV/atom
- Fermi-level density of states: 0.264 states/eV/atom
- Magnetic moment: 1.02 μB per formula unit